AcTb6Dy2Er3: relaxed, PBE-GGA.

Lattice parameters (Å, degrees): 6.1985 10.7300 11.8602 90.00 100.01 90.00
Space group C2/m (No. 12)
Inequivalent atoms, fractional coordinates:
Ac (0.0000, 0.0000, 0.0000)
Tb (0.2458, 0.3318, 0.7446)
Tb (0.2504, 0.0000, 0.7442)
Dy (0.0000, 0.3334, 0.0000)
Er (0.0000, 0.1671, 0.5000)
Er (0.0000, 0.5000, 0.5000)

Output
The calculation puts the formation enthalpy at 0 K at 0.032 eV/atom.

Be17Os3: relaxed, PBE-GGA.

Lattice parameters (Å, degrees): 11.3394 11.3394 11.3394 90.00 90.00 90.00
Space group Im-3 (No. 204)
Inequivalent atoms, fractional coordinates:
Be (0.0000, 0.0000, 0.4035)
Be (0.0000, 0.0931, 0.2337)
Be (0.0000, 0.1975, 0.5000)
Be (0.0000, 0.3507, 0.4041)
Be (0.1143, 0.2017, 0.3407)
Be (0.1631, 0.1631, 0.1631)
Os (0.0000, 0.3012, 0.1877)

Output
The calculation puts the formation enthalpy at 0 K at -0.281 eV/atom.

Sr2BePd2: relaxed, PBE-GGA.

Lattice parameters (Å, degrees): 8.4732 8.4732 3.7477 90.00 90.00 90.00
Space group P4/mbm (No. 127)
Inequivalent atoms, fractional coordinates:
Sr (0.1699, 0.3301, 0.0000)
Be (0.0000, 0.0000, 0.0000)
Pd (0.1212, 0.6212, 0.5000)

Output
The calculation puts the formation enthalpy at 0 K at 0.194 eV/atom.

TaCo4Ni15: relaxed, PBE-GGA.

Lattice parameters (Å, degrees): 3.5689 3.5689 17.6227 90.00 90.00 90.00
Space group P4/mmm (No. 123)
Inequivalent atoms, fractional coordinates:
Ta (0.0000, 0.0000, 0.0000)
Co (0.0000, 0.0000, 0.2075)
Co (0.0000, 0.0000, 0.4023)
Ni (0.0000, 0.5000, 0.1057)
Ni (0.0000, 0.5000, 0.3037)
Ni (0.0000, 0.5000, 0.5000)
Ni (0.5000, 0.5000, 0.0000)
Ni (0.5000, 0.5000, 0.2049)
Ni (0.5000, 0.5000, 0.4019)

Output
The calculation puts the formation enthalpy at 0 K at -0.045 eV/atom.

Rb2Pu3SnO12: relaxed, PBE-GGA.

Lattice parameters (Å, degrees): 7.8806 7.8806 18.4021 90.00 90.00 120.00
Space group R-3m (No. 166, hexagonal axes)
Inequivalent atoms, fractional coordinates:
Rb (0.0000, 0.0000, 0.1305)
Pu (0.0000, 0.5000, 0.0000)
Sn (0.0000, 0.0000, 0.5000)
O (0.0767, 0.5384, 0.1050)
O (0.0808, 0.5404, 0.3550)

Output
The value obtained for the uncorrected formation energy is -2.2830 eV per atom.

ZrScN3: relaxed, PBE-GGA.

Lattice parameters (Å, degrees): 3.9588 3.9588 3.9588 90.00 90.00 90.00
Space group Pm-3m (No. 221)
Inequivalent atoms, fractional coordinates:
Zr (0.0000, 0.0000, 0.0000)
Sc (0.5000, 0.5000, 0.5000)
N (0.0000, 0.5000, 0.5000)

Output
The value obtained for the uncorrected formation energy is 0.1373 eV per atom.

Pm8NiRh2: relaxed, PBE-GGA.

Lattice parameters (Å, degrees): 17.5802 5.0836 6.8643 90.00 100.00 90.00
Space group C2/m (No. 12)
Inequivalent atoms, fractional coordinates:
Pm (0.0365, 0.0000, 0.2798)
Pm (0.0881, 0.5000, 0.9378)
Pm (0.1647, 0.5000, 0.4650)
Pm (0.2011, 0.0000, 0.8342)
Ni (0.0000, 0.5000, 0.5000)
Rh (0.2057, 0.0000, 0.2414)

Output
The calculation puts the formation enthalpy at 0 K at -0.308 eV/atom.

CeGeN2: relaxed, PBE-GGA.

Lattice parameters (Å, degrees): 3.7091 3.7091 17.5830 90.00 90.00 120.00
Space group R-3m (No. 166, hexagonal axes)
Inequivalent atoms, fractional coordinates:
Ce (0.0000, 0.0000, 0.0000)
Ge (0.0000, 0.0000, 0.5000)
N (0.0000, 0.0000, 0.3945)

Output
The value obtained for the uncorrected formation energy is -0.4491 eV per atom.

Listing VASP energy for the structures above in their given order: -4.5331; -5.1329; -3.3015; -6.3952; -8.3070; -7.8339; -5.6253; -7.2496 eV per atom.